[1]
Here is an optimized crystal structure of InAsCl from Alexandria. Energies are from GGA-PBE.

Output
Uncorrected energy in eV per atom: -3.484
Formation energy from raw total energies in kcal/mol of atoms: -9.4
SG: P3_2 (145)
Distance to the lowest polymorph of the same formula in meV per atom: 87
Density of states at the Fermi level in states/eV/f.u.: 1.36

Cell: 8.1598 8.1598 5.0008 Å, 90.00 90.00 120.00°
With the nearest neighbours (Å) after each atom.
Positions (direct):
In 0.0325 0.4001 0.0000  3 Cl 2.76-3.08, 2 As 2.90-2.97
In 0.3676 0.9675 0.3333  3 Cl 2.76-3.08, 2 As 2.90-2.97
In 0.5999 0.6324 0.6667  3 Cl 2.76-3.08, 2 As 2.90-2.97
As 0.5336 0.3172 0.0288  2 As 2.44
As 0.6828 0.2164 0.6955  2 As 2.44
As 0.7836 0.4664 0.3621  2 As 2.44
Cl 0.1646 0.7717 0.8556  3 In 2.76-3.08
Cl 0.2283 0.3929 0.5222  3 In 2.76-3.08
Cl 0.6071 0.8354 0.1889  3 In 2.76-3.08

[2]
Here is an optimized crystal structure of InAs2Cl from Alexandria. Energies are from GGA-PBE.

Output
Uncorrected energy in eV per atom: -3.694
Formation energy from raw total energies in kcal/mol of atoms: -5.1
SG: Pm (6)
Distance to the lowest polymorph of the same formula in meV per atom: 114
Density of states at the Fermi level in states/eV/f.u.: 0.33

Cell: 5.0999 3.6167 5.9604 Å, 90.00 90.71 90.00°
With the nearest neighbours (Å) after each atom.
Positions (direct):
In 0.0000 0.0000 0.0000  2 Cl 2.94, 2 As 3.02-3.03
As 0.1036 0.0000 0.4999  2 As 2.45
As 0.4263 0.5000 0.5029  2 As 2.45
Cl 0.5466 0.5000 0.0041  2 In 2.94, 2 As 3.04

[3]
Here is an optimized crystal structure of InAsCl from Alexandria. Energies are from GGA-PBE.

Output
Uncorrected energy in eV per atom: -3.171
Formation energy from raw total energies in kcal/mol of atoms: -2.1
SG: Fmm2 (42)
Distance to the lowest polymorph of the same formula in meV per atom: 400
Density of states at the Fermi level in states/eV/f.u.: 1.16

Cell: 7.6870 7.3898 3.5013 Å, 81.36 71.88 26.76°
With the nearest neighbours (Å) after each atom.
Positions (direct):
In 0.0000 0.0000 0.0000  2 As 2.68, 2 Cl 2.72
As 0.6273 0.6273 0.3727  2 In 2.68
Cl 0.3682 0.3682 0.6318  2 In 2.72

[4]
Here is an optimized crystal structure of InAs2Cl from Alexandria. Energies are from GGA-PBE.

Output
Uncorrected energy in eV per atom: -3.117
Formation energy from raw total energies in kcal/mol of atoms: 8.2
SG: I-42d (122)
Distance to the lowest polymorph of the same formula in meV per atom: 691
Density of states at the Fermi level in states/eV/f.u.: 1.82

Cell: 8.2912 8.2912 8.2912 Å, 139.70 139.70 58.31°
With the nearest neighbours (Å) after each atom.
Positions (direct):
In 0.0000 0.0000 0.0000  4 As 2.77
In 0.7500 0.2500 0.5000  4 As 2.77
As 0.1422 0.6250 0.0172  2 Cl 2.66, 2 In 2.77
As 0.3750 0.3922 0.5172  2 Cl 2.66, 2 In 2.77
As 0.6078 0.1250 0.9828  2 Cl 2.66, 2 In 2.77
As 0.8750 0.8578 0.4828  2 Cl 2.66, 2 In 2.77
Cl 0.2500 0.7500 0.5000  4 As 2.66
Cl 0.5000 0.5000 0.0000  4 As 2.66

[5]
Here is an optimized crystal structure of In3AsCl from Alexandria. Energies are from GGA-PBE.

Output
Uncorrected energy in eV per atom: -2.632
Formation energy from raw total energies in kcal/mol of atoms: 7.2
SG: Pm-3m (221)
Distance to the lowest polymorph of the same formula in meV per atom: 261
Density of states at the Fermi level in states/eV/f.u.: 5.55

Cell: 5.5739 5.5739 5.5739 Å, 90.00 90.00 90.00°
With the nearest neighbours (Å) after each atom.
Positions (direct):
In 0.0000 0.0000 0.5000  2 Cl 2.79
In 0.0000 0.5000 0.0000  2 Cl 2.79
In 0.5000 0.0000 0.0000  2 Cl 2.79
As 0.5000 0.5000 0.5000  12 In 3.94
Cl 0.0000 0.0000 0.0000  6 In 2.79

[6]
Here is an optimized crystal structure of InAs2Cl from Alexandria. Energies are from GGA-PBE.

Output
Uncorrected energy in eV per atom: -3.618
Formation energy from raw total energies in kcal/mol of atoms: -3.4
SG: P4mm (99)
Distance to the lowest polymorph of the same formula in meV per atom: 190
Density of states at the Fermi level in states/eV/f.u.: 1.82

Cell: 3.4463 3.4463 8.7487 Å, 90.00 90.00 90.00°
With the nearest neighbours (Å) after each atom.
Positions (direct):
In 0.0000 0.0000 0.0000  4 Cl 2.94
As 0.0000 0.0000 0.4503  4 As 2.66
As 0.5000 0.5000 0.3292  4 As 2.66
Cl 0.5000 0.5000 0.8121  4 In 2.94

[7]
Here is an optimized crystal structure of InAsCl3 from Alexandria. Energies are from GGA-PBE.

Output
Uncorrected energy in eV per atom: -3.068
Formation energy from raw total energies in kcal/mol of atoms: -11.1
SG: Pm-3m (221)
Distance to the lowest polymorph of the same formula in meV per atom: 0
Density of states at the Fermi level in states/eV/f.u.: 1.87

Cell: 5.1968 5.1968 5.1968 Å, 90.00 90.00 90.00°
With the nearest neighbours (Å) after each atom.
Positions (direct):
In 0.0000 0.0000 0.0000  12 Cl 3.67
As 0.5000 0.5000 0.5000  6 Cl 2.60
Cl 0.0000 0.5000 0.5000  2 As 2.60
Cl 0.5000 0.0000 0.5000  2 As 2.60
Cl 0.5000 0.5000 0.0000  2 As 2.60

[8]
Here is an optimized crystal structure of InAs2Cl from Alexandria. Energies are from GGA-PBE.

Output
Uncorrected energy in eV per atom: -3.469
Formation energy from raw total energies in kcal/mol of atoms: 0.0
SG: Immm (71)
Distance to the lowest polymorph of the same formula in meV per atom: 339
Density of states at the Fermi level in states/eV/f.u.: 1.74

Cell: 6.4202 6.4202 6.4202 Å, 149.65 137.98 52.71°
With the nearest neighbours (Å) after each atom.
Positions (direct):
In 0.0000 0.0000 0.0000  4 Cl 2.85, 4 As 3.00
As 0.2161 0.7161 0.5000  4 As 2.96, 2 In 3.00
As 0.7839 0.2839 0.5000  4 As 2.96, 2 In 3.00
Cl 0.5000 0.5000 0.0000  4 In 2.85

[9]
Here is an optimized crystal structure of InAsCl from Alexandria. Energies are from GGA-PBE.

Output
Uncorrected energy in eV per atom: -3.253
Formation energy from raw total energies in kcal/mol of atoms: -4.0
SG: I4mm (107)
Distance to the lowest polymorph of the same formula in meV per atom: 318
Density of states at the Fermi level in states/eV/f.u.: 1.32

Cell: 6.0782 6.0782 6.0782 Å, 140.70 140.70 56.79°
With the nearest neighbours (Å) after each atom.
Positions (direct):
In 0.0000 0.0000 0.0000  1 Cl 2.86, 4 As 2.89
As 0.5101 0.5101 0.0000  1 Cl 2.38
Cl 0.7328 0.7328 0.0000  1 As 2.38

[10]
Here is an optimized crystal structure of In12As5Cl3 from Alexandria. Energies are from GGA-PBE.

Output
Uncorrected energy in eV per atom: -3.144
Formation energy from raw total energies in kcal/mol of atoms: -1.4
SG: Ia-3d (230)
Density of states at the Fermi level in states/eV/f.u.: 8.63

Cell: 14.9339 14.9339 14.9339 Å, 109.47 109.47 109.47°
With the nearest neighbours (Å) after each atom.
Positions (direct):
In 0.0558 0.2249 0.1464  2 As 2.78-2.96, 1 Cl 3.07
In 0.0558 0.3309 0.9094  2 As 2.78-2.96, 1 Cl 3.07
In 0.0785 0.7249 0.6691  2 As 2.78-2.96, 1 Cl 3.07
In 0.0785 0.8536 0.4094  2 As 2.78-2.96, 1 Cl 3.07
In 0.0906 0.6464 0.4215  2 As 2.78-2.96, 1 Cl 3.07
In 0.0906 0.9442 0.6691  2 As 2.78-2.96, 1 Cl 3.07
In 0.1464 0.0558 0.2249  2 As 2.78-2.96, 1 Cl 3.07
In 0.1464 0.5906 0.9215  2 As 2.78-2.96, 1 Cl 3.07
In 0.1691 0.2249 0.5785  2 As 2.78-2.96, 1 Cl 3.07
In 0.1691 0.4442 0.5906  2 As 2.78-2.96, 1 Cl 3.07
In 0.2249 0.1464 0.0558  2 As 2.78-2.96, 1 Cl 3.07
In 0.2249 0.5785 0.1691  2 As 2.78-2.96, 1 Cl 3.07
In 0.2751 0.3309 0.9215  2 As 2.78-2.96, 1 Cl 3.07
In 0.2751 0.4442 0.3536  2 As 2.78-2.96, 1 Cl 3.07
In 0.3309 0.9094 0.0558  2 As 2.78-2.96, 1 Cl 3.07
In 0.3309 0.9215 0.2751  2 As 2.78-2.96, 1 Cl 3.07
In 0.3536 0.2751 0.4442  2 As 2.78-2.96, 1 Cl 3.07
In 0.3536 0.5785 0.9094  2 As 2.78-2.96, 1 Cl 3.07
In 0.4094 0.0785 0.8536  2 As 2.78-2.96, 1 Cl 3.07
In 0.4094 0.8309 0.5558  2 As 2.78-2.96, 1 Cl 3.07
In 0.4215 0.0906 0.6464  2 As 2.78-2.96, 1 Cl 3.07
In 0.4215 0.8309 0.7751  2 As 2.78-2.96, 1 Cl 3.07
In 0.4442 0.3536 0.2751  2 As 2.78-2.96, 1 Cl 3.07
In 0.4442 0.5906 0.1691  2 As 2.78-2.96, 1 Cl 3.07
In 0.5558 0.4094 0.8309  2 As 2.78-2.96, 1 Cl 3.07
In 0.5558 0.6464 0.7249  2 As 2.78-2.96, 1 Cl 3.07
In 0.5785 0.1691 0.2249  2 As 2.78-2.96, 1 Cl 3.07
In 0.5785 0.9094 0.3536  2 As 2.78-2.96, 1 Cl 3.07
In 0.5906 0.1691 0.4442  2 As 2.78-2.96, 1 Cl 3.07
In 0.5906 0.9215 0.1464  2 As 2.78-2.96, 1 Cl 3.07
In 0.6464 0.4215 0.0906  2 As 2.78-2.96, 1 Cl 3.07
In 0.6464 0.7249 0.5558  2 As 2.78-2.96, 1 Cl 3.07
In 0.6691 0.0785 0.7249  2 As 2.78-2.96, 1 Cl 3.07
In 0.6691 0.0906 0.9442  2 As 2.78-2.96, 1 Cl 3.07
In 0.7249 0.5558 0.6464  2 As 2.78-2.96, 1 Cl 3.07
In 0.7249 0.6691 0.0785  2 As 2.78-2.96, 1 Cl 3.07
In 0.7751 0.4215 0.8309  2 As 2.78-2.96, 1 Cl 3.07
In 0.7751 0.8536 0.9442  2 As 2.78-2.96, 1 Cl 3.07
In 0.8309 0.5558 0.4094  2 As 2.78-2.96, 1 Cl 3.07
In 0.8309 0.7751 0.4215  2 As 2.78-2.96, 1 Cl 3.07
In 0.8536 0.4094 0.0785  2 As 2.78-2.96, 1 Cl 3.07
In 0.8536 0.9442 0.7751  2 As 2.78-2.96, 1 Cl 3.07
In 0.9094 0.0558 0.3309  2 As 2.78-2.96, 1 Cl 3.07
In 0.9094 0.3536 0.5785  2 As 2.78-2.96, 1 Cl 3.07
In 0.9215 0.1464 0.5906  2 As 2.78-2.96, 1 Cl 3.07
In 0.9215 0.2751 0.3309  2 As 2.78-2.96, 1 Cl 3.07
In 0.9442 0.6691 0.0906  2 As 2.78-2.96, 1 Cl 3.07
In 0.9442 0.7751 0.8536  2 As 2.78-2.96, 1 Cl 3.07
As 0.0000 0.0000 0.0000  6 In 2.96
As 0.0000 0.0000 0.5000  6 In 2.96
As 0.0000 0.5000 0.0000  6 In 2.96
As 0.0000 0.5000 0.5000  6 In 2.96
As 0.1250 0.7500 0.8750  4 In 2.78
As 0.1250 0.8750 0.2500  4 In 2.78
As 0.2500 0.1250 0.8750  4 In 2.78
As 0.2500 0.6250 0.3750  4 In 2.78
As 0.3750 0.2500 0.6250  4 In 2.78
As 0.3750 0.6250 0.7500  4 In 2.78
As 0.5000 0.0000 0.0000  6 In 2.96
As 0.5000 0.0000 0.5000  6 In 2.96
As 0.5000 0.5000 0.0000  6 In 2.96
As 0.5000 0.5000 0.5000  6 In 2.96
As 0.6250 0.3750 0.2500  4 In 2.78
As 0.6250 0.7500 0.3750  4 In 2.78
As 0.7500 0.3750 0.6250  4 In 2.78
As 0.7500 0.8750 0.1250  4 In 2.78
As 0.8750 0.1250 0.7500  4 In 2.78
As 0.8750 0.2500 0.1250  4 In 2.78
Cl 0.1250 0.2500 0.3750  8 In 3.07-3.21
Cl 0.1250 0.3750 0.7500  8 In 3.07-3.21
Cl 0.2500 0.3750 0.1250  8 In 3.07-3.21
Cl 0.2500 0.8750 0.6250  8 In 3.07-3.21
Cl 0.3750 0.1250 0.2500  8 In 3.07-3.21
Cl 0.3750 0.7500 0.1250  8 In 3.07-3.21
Cl 0.6250 0.2500 0.8750  8 In 3.07-3.21
Cl 0.6250 0.8750 0.7500  8 In 3.07-3.21
Cl 0.7500 0.1250 0.3750  8 In 3.07-3.21
Cl 0.7500 0.6250 0.8750  8 In 3.07-3.21
Cl 0.8750 0.6250 0.2500  8 In 3.07-3.21
Cl 0.8750 0.7500 0.6250  8 In 3.07-3.21

[11]
Here is an optimized crystal structure of InAsCl from Alexandria. Energies are from GGA-PBE.

Output
Uncorrected energy in eV per atom: -3.099
Formation energy from raw total energies in kcal/mol of atoms: -0.5
SG: I4mm (107)
Distance to the lowest polymorph of the same formula in meV per atom: 472
Density of states at the Fermi level in states/eV/f.u.: 1.90

Cell: 7.2085 7.2085 7.2085 Å, 153.12 153.12 38.39°
With the nearest neighbours (Å) after each atom.
Positions (direct):
In 0.0000 0.0000 0.0000  4 Cl 2.95, 4 As 2.95
As 0.6295 0.6295 0.0000  4 In 2.95
Cl 0.3714 0.3714 0.0000  4 In 2.95

[12]
Here is an optimized crystal structure of InAs2Cl from Alexandria. Energies are from GGA-PBE.

Output
Uncorrected energy in eV per atom: -3.613
Formation energy from raw total energies in kcal/mol of atoms: -3.3
SG: C2/m (12)
Distance to the lowest polymorph of the same formula in meV per atom: 195
Density of states at the Fermi level in states/eV/f.u.: 2.22

Cell: 7.0329 7.0329 4.7344 Å, 100.94 100.94 29.22°
With the nearest neighbours (Å) after each atom.
Positions (direct):
In 0.0000 0.0000 0.0000  4 Cl 2.96
As 0.2787 0.2787 0.8650  2 As 2.41
As 0.7213 0.7213 0.1350  2 As 2.41
Cl 0.5000 0.5000 0.5000  4 In 2.96